Arrangement one

An optimized crystal structure of Ga3Mo. Source: Alexandria, functional GGA-PBE.

## Properties
Crystal system: orthorhombic
DOS at the Fermi energy in states/eV/f.u.: 2.07
Calculated volume in Å³/atom: 15.88

Cell: 2.8111 4.7118 4.7956 Å, 90.00 90.00 90.00°
With the nearest neighbours (Å) after each atom.
Space group Pmm2 (No. 25)
Unique sites:
Ga 0.0000 0.0000 0.0000 x1  4 Mo 2.75-2.81, 8 Ga 2.81-2.89
Ga 0.0000 0.5000 0.3226 x1  8 Ga 2.74-2.82, 4 Mo 2.88
Ga 0.5000 0.5000 0.8138 x1  10 Ga 2.74-2.89, 2 Mo 2.78
Mo 0.5000 0.0000 0.5079 x1  10 Ga 2.75-2.88, 2 Mo 2.81

Arrangement two

An optimized crystal structure of Ga3Mo. Source: Alexandria, functional GGA-PBE.

## Properties
Crystal system: tetragonal
DOS at the Fermi energy in states/eV/f.u.: 2.46
Calculated volume in Å³/atom: 15.46

Cell: 3.8141 3.8141 8.4994 Å, 90.00 90.00 90.00°
With the nearest neighbours (Å) after each atom.
Space group I4/mmm (No. 139)
Unique sites:
Ga 0.0000 0.0000 0.0000 x2  4 Mo 2.70, 8 Ga 2.86
Ga 0.0000 0.5000 0.2500 x4  8 Ga 2.70-2.86, 4 Mo 2.86
Mo 0.0000 0.0000 0.5000 x2  12 Ga 2.70-2.86

Which of them is most stable, and which least? Most stable: arrangement two; least stable: arrangement one.

Arrangement one

An optimized crystal structure of GaMo2N2. Source: Alexandria, functional GGA-PBE.

## Properties
Crystal system: tetragonal
DOS at the Fermi energy in states/eV/f.u.: 2.12
Calculated volume in Å³/atom: 11.06

Cell: 6.3810 6.3810 2.7166 Å, 90.00 90.00 90.00°
With the nearest neighbours (Å) after each atom.
Space group P4/mbm (No. 127)
Unique sites:
Ga 0.0000 0.0000 0.0000 x2  4 N 2.49, 2 Ga 2.72, 8 Mo 2.76
Mo 0.1592 0.3408 0.5000 x4  6 N 2.31-2.32
N 0.1325 0.6325 0.0000 x4  6 Mo 2.31-2.32, 1 N 2.39, 2 Ga 2.49

Arrangement two

An optimized crystal structure of GaMo2N2. Source: Alexandria, functional GGA-PBE.

## Properties
Crystal system: tetragonal
DOS at the Fermi energy in states/eV/f.u.: 3.28
Calculated volume in Å³/atom: 14.13

Cell: 3.9480 3.9480 9.0669 Å, 90.00 90.00 90.00°
With the nearest neighbours (Å) after each atom.
Space group I4/mmm (No. 139)
Unique sites:
Ga 0.0000 0.0000 0.0000 x2  10 N 2.90-3.24, 8 Mo 3.01
Mo 0.0000 0.5000 0.2500 x4  4 N 2.07
N 0.0000 0.0000 0.3196 x4  4 Mo 2.07

Which of them is most stable, and which least? Most stable: arrangement two; least stable: arrangement one.